A relaxed structure of Na6V2O7. Source: Alexandria via LeMat-Bulk, functional GGA+U.

Calculated total energy: -167.9 eV/cell
Symmetry: Pc

a b c (Å): 8.4895 5.9845 10.5253
angles (deg): 57.47 90.00 90.00
Last column: nearest neighbours and their distance in Å.
Atoms (fractional coordinates):
O: 0.0696 0.5150 0.4080  1 V 1.81
O: 0.7946 0.4909 0.5502  2 V 1.89
O: 0.2054 0.4909 0.0502  2 V 1.89
O: 0.1768 0.7833 0.6827  1 V 1.83
O: 0.8996 0.0235 0.3566  1 V 1.79
O: 0.5383 0.5190 0.0304  1 V 1.80
O: 0.4617 0.5190 0.5304  1 V 1.80
O: 0.6477 0.9804 0.6556  1 V 1.80
O: 0.3523 0.9804 0.1556  1 V 1.80
O: 0.9304 0.5150 0.9080  1 V 1.81
O: 0.5901 0.2018 0.8370  1 V 1.81
O: 0.4099 0.2018 0.3370  1 V 1.81
O: 0.1004 0.0235 0.8566  1 V 1.79
O: 0.8232 0.7833 0.1827  1 V 1.83
Na: 0.4672 0.6100 0.7736  4 O 2.40-2.65
Na: 0.2794 0.2254 0.5207  4 O 2.30-2.41
Na: 0.5328 0.6100 0.2736  4 O 2.40-2.65
Na: 0.0806 0.0834 0.0581  4 O 2.34-2.62
Na: 0.7469 0.7990 0.9327  3 O 2.27-2.45
Na: 0.0038 0.4392 0.2120  4 O 2.28-2.45
Na: 0.7206 0.2254 0.0207  4 O 2.30-2.41
Na: 0.9962 0.4392 0.7120  4 O 2.28-2.45
Na: 0.9194 0.0834 0.5581  4 O 2.34-2.62
Na: 0.3808 0.9239 0.9589  4 O 2.28-2.55
Na: 0.2531 0.7990 0.4327  3 O 2.27-2.45
Na: 0.6192 0.9239 0.4589  4 O 2.28-2.55
V: 0.1042 0.7191 0.8631  4 O 1.79-1.89
V: 0.3872 0.2864 0.1451  4 O 1.80-1.89
V: 0.6128 0.2864 0.6451  4 O 1.80-1.89
V: 0.8958 0.7191 0.3631  4 O 1.79-1.89